Model i:
Here is a geometry-optimized K2CuBr3 structure from Alexandria. Energies are from PBE. Values from VASP.

Output
Space group: Pnma
Density: 3.365 g/cm3

Geometry as Quantum ESPRESSO input:
```
&SYSTEM
  ibrav = 0, nat = 24, ntyp = 3
/
ATOMIC_SPECIES
K 39.10 K.upf
Cu 63.55 Cu.upf
Br 79.90 Br.upf
ATOMIC_POSITIONS crystal
K 0.250 0.240 0.955
K 0.750 0.760 0.045
K 0.750 0.260 0.455
K 0.250 0.740 0.545
K 0.750 0.087 0.712
K 0.250 0.913 0.288
K 0.250 0.413 0.212
K 0.750 0.587 0.788
Cu 0.250 0.362 0.636
Cu 0.750 0.638 0.364
Cu 0.750 0.138 0.136
Cu 0.250 0.862 0.864
Br 0.250 0.324 0.773
Br 0.750 0.676 0.227
Br 0.750 0.176 0.273
Br 0.250 0.824 0.727
Br 0.750 0.986 0.895
Br 0.250 0.014 0.105
Br 0.250 0.514 0.395
Br 0.750 0.486 0.605
Br 0.250 0.135 0.570
Br 0.750 0.865 0.430
Br 0.750 0.365 0.070
Br 0.250 0.635 0.930
CELL_PARAMETERS angstrom
-3.404 0.838 -2.659
-5.099 -6.619 4.442
-6.026 12.455 11.640
```

Model ii:
Here is a geometry-optimized K2CuBr3 structure from Alexandria. Energies are from PBE. Values from VASP.

Output
Space group: C2/c
Density: 3.072 g/cm3

Geometry as Quantum ESPRESSO input:
```
&SYSTEM
  ibrav = 0, nat = 12, ntyp = 3
/
ATOMIC_SPECIES
K 39.10 K.upf
Cu 63.55 Cu.upf
Br 79.90 Br.upf
ATOMIC_POSITIONS crystal
K 0.663 0.158 0.527
K 0.163 0.527 0.158
K 0.837 0.473 0.842
K 0.337 0.842 0.473
Cu 0.750 0.899 0.101
Cu 0.250 0.101 0.899
Br 0.250 0.402 0.598
Br 0.750 0.598 0.402
Br 0.950 0.873 0.806
Br 0.550 0.194 0.127
Br 0.450 0.806 0.873
Br 0.050 0.127 0.194
CELL_PARAMETERS angstrom
-4.437 7.020 2.365
-1.417 -0.253 7.484
4.353 4.425 4.422
```

Least stable: model ii

Model i:
Here is a geometry-optimized K2CuBr5 structure from Alexandria. Energies are from PBE. Values from VASP.

Output
Space group: Cmcm
Density: 2.804 g/cm3

Geometry as Quantum ESPRESSO input:
```
&SYSTEM
  ibrav = 0, nat = 16, ntyp = 3
/
ATOMIC_SPECIES
K 39.10 K.upf
Cu 63.55 Cu.upf
Br 79.90 Br.upf
ATOMIC_POSITIONS crystal
K 0.831 0.663 0.411
K 0.831 0.663 0.089
K 0.169 0.337 0.589
K 0.169 0.337 0.911
Cu 0.831 0.662 0.750
Cu 0.169 0.338 0.250
Br 0.946 0.891 0.876
Br 0.946 0.891 0.624
Br 0.286 0.572 0.376
Br 0.286 0.572 0.124
Br 0.673 0.347 0.250
Br 0.327 0.653 0.750
Br 0.714 0.428 0.624
Br 0.714 0.428 0.876
Br 0.054 0.109 0.124
Br 0.054 0.109 0.376
CELL_PARAMETERS angstrom
-2.469 -5.186 -3.011
6.049 3.507 -4.017
8.777 -7.865 6.349
```

Model ii:
Here is a geometry-optimized K2CuBr5 structure from Alexandria. Energies are from PBE. Values from VASP.

Output
Space group: I4mm
Density: 3.413 g/cm3

Geometry as Quantum ESPRESSO input:
```
&SYSTEM
  ibrav = 0, nat = 8, ntyp = 3
/
ATOMIC_SPECIES
K 39.10 K.upf
Cu 63.55 Cu.upf
Br 79.90 Br.upf
ATOMIC_POSITIONS crystal
K 0.500 0.268 0.768
K 0.500 0.768 0.268
Cu 0.000 0.984 0.984
Br 0.560 0.801 0.801
Br 0.000 0.241 0.801
Br 0.000 0.801 0.241
Br 0.440 0.241 0.241
Br 0.000 0.675 0.675
CELL_PARAMETERS angstrom
6.438 -0.013 -2.824
-3.686 5.824 -1.382
-0.008 0.013 7.030
```

Least stable: model i

Model i:
Here is a geometry-optimized K2Cu2Br5 structure from Alexandria. Energies are from PBE. Values from VASP.

Output
Space group: Amm2
Density: 3.766 g/cm3

Geometry as Quantum ESPRESSO input:
```
&SYSTEM
  ibrav = 0, nat = 9, ntyp = 3
/
ATOMIC_SPECIES
K 39.10 K.upf
Cu 63.55 Cu.upf
Br 79.90 Br.upf
ATOMIC_POSITIONS crystal
K 0.037 0.037 0.000
K 0.036 0.036 0.500
Cu 0.538 0.538 0.254
Cu 0.538 0.538 0.746
Br 0.038 0.537 0.786
Br 0.537 0.038 0.214
Br 0.537 0.038 0.786
Br 0.038 0.537 0.214
Br 0.537 0.537 0.500
CELL_PARAMETERS angstrom
5.012 0.225 0.000
-0.224 5.012 0.000
0.000 0.000 10.596
```

Model ii:
Here is a geometry-optimized K2Cu2Br5 structure from Alexandria. Energies are from PBE. Values from VASP.

Output
Space group: Ima2
Density: 3.629 g/cm3

Geometry as Quantum ESPRESSO input:
```
&SYSTEM
  ibrav = 0, nat = 18, ntyp = 3
/
ATOMIC_SPECIES
K 39.10 K.upf
Cu 63.55 Cu.upf
Br 79.90 Br.upf
ATOMIC_POSITIONS crystal
K 0.117 0.605 0.221
K 0.883 0.384 0.779
K 0.604 0.105 0.221
K 0.396 0.884 0.779
Cu 0.000 0.989 0.000
Cu 0.500 0.489 0.000
Cu 0.167 0.286 0.500
Cu 0.833 0.786 0.500
Br 0.249 0.739 0.996
Br 0.751 0.743 0.004
Br 0.247 0.239 0.996
Br 0.753 0.243 0.004
Br 0.167 0.123 0.293
Br 0.833 0.830 0.707
Br 0.626 0.623 0.293
Br 0.374 0.330 0.707
Br 0.149 0.637 0.500
Br 0.851 0.137 0.500
CELL_PARAMETERS angstrom
-5.437 2.071 -4.100
3.855 -1.356 -5.797
-3.025 -10.635 4.816
```

Least stable: model i

Model i:
Here is a geometry-optimized K3CuBr4 structure from Alexandria. Energies are from PBE. Values from VASP.

Output
Space group: Pmn2_1
Density: 2.650 g/cm3

Geometry as Quantum ESPRESSO input:
```
&SYSTEM
  ibrav = 0, nat = 16, ntyp = 3
/
ATOMIC_SPECIES
K 39.10 K.upf
Cu 63.55 Cu.upf
Br 79.90 Br.upf
ATOMIC_POSITIONS crystal
K 0.565 0.875 0.000
K 0.069 0.668 0.228
K 0.569 0.332 0.272
K 0.065 0.125 0.500
K 0.569 0.332 0.728
K 0.069 0.668 0.772
Cu 0.979 0.195 0.000
Cu 0.479 0.805 0.500
Br 0.067 0.905 0.000
Br 0.614 0.234 0.000
Br 0.076 0.293 0.213
Br 0.576 0.707 0.287
Br 0.114 0.766 0.500
Br 0.567 0.095 0.500
Br 0.576 0.707 0.713
Br 0.076 0.293 0.787
CELL_PARAMETERS angstrom
6.692 0.000 0.000
0.000 8.667 0.000
0.000 0.000 10.815
```

Model ii:
Here is a geometry-optimized K3CuBr4 structure from Alexandria. Energies are from PBE. Values from VASP.

Output
Space group: Pmmn
Density: 2.723 g/cm3

Geometry as Quantum ESPRESSO input:
```
&SYSTEM
  ibrav = 0, nat = 16, ntyp = 3
/
ATOMIC_SPECIES
K 39.10 K.upf
Br 79.90 Br.upf
Cu 63.55 Cu.upf
ATOMIC_POSITIONS crystal
K 0.564 0.135 0.000
K 0.064 0.682 0.163
K 0.564 0.318 0.337
K 0.064 0.865 0.500
K 0.564 0.318 0.663
K 0.064 0.682 0.837
Br 0.064 0.910 0.000
Br 0.564 0.542 0.000
Br 0.064 0.296 0.159
Br 0.564 0.704 0.341
Br 0.064 0.458 0.500
Br 0.564 0.090 0.500
Br 0.564 0.704 0.659
Br 0.064 0.296 0.841
Cu 0.064 0.412 0.000
Cu 0.564 0.588 0.500
CELL_PARAMETERS angstrom
4.479 0.000 0.000
0.000 10.244 0.000
0.000 0.000 13.305
```

Least stable: model i

Model i:
Here is a geometry-optimized K2CuBrO structure from Alexandria. Energies are from PBE. Values from VASP.

Output
Space group: P2_1/m
Density: 3.097 g/cm3

Geometry as Quantum ESPRESSO input:
```
&SYSTEM
  ibrav = 0, nat = 10, ntyp = 4
/
ATOMIC_SPECIES
K 39.10 K.upf
Cu 63.55 Cu.upf
Br 79.90 Br.upf
O 16.00 O.upf
ATOMIC_POSITIONS crystal
K 0.750 0.803 0.635
K 0.750 0.815 0.029
K 0.250 0.197 0.365
K 0.250 0.185 0.971
Cu 0.250 0.534 0.757
Cu 0.750 0.466 0.243
Br 0.250 0.704 0.304
Br 0.750 0.296 0.696
O 0.250 0.800 0.825
O 0.750 0.200 0.175
CELL_PARAMETERS angstrom
3.994 0.000 0.000
0.000 7.298 -0.053
0.000 -3.194 8.765
```

Model ii:
Here is a geometry-optimized K2CuBrO structure from Alexandria. Energies are from PBE. Values from VASP.

Output
Space group: P4/mmm
Density: 3.315 g/cm3

Geometry as Quantum ESPRESSO input:
```
&SYSTEM
  ibrav = 0, nat = 5, ntyp = 4
/
ATOMIC_SPECIES
O 16.00 O.upf
K 39.10 K.upf
Cu 63.55 Cu.upf
Br 79.90 Br.upf
ATOMIC_POSITIONS crystal
O 0.000 0.000 0.000
K 0.000 0.500 0.000
K 0.500 0.000 0.000
Cu 0.000 0.000 0.500
Br 0.500 0.500 0.500
CELL_PARAMETERS angstrom
-3.732 0.139 -4.283
-2.710 -4.475 2.216
-2.154 2.270 1.951
```

Least stable: model i

Model i:
Here is a geometry-optimized La2CuBr structure from Alexandria. Energies are from PBE. Values from VASP.

Output
Space group: R3m
Density: 5.268 g/cm3

Geometry as Quantum ESPRESSO input:
```
&SYSTEM
  ibrav = 0, nat = 4, ntyp = 3
/
ATOMIC_SPECIES
Br 79.90 Br.upf
Cu 63.55 Cu.upf
La 138.91 La.upf
ATOMIC_POSITIONS crystal
Br 0.505 0.505 0.505
Cu 0.742 0.742 0.742
La 0.011 0.011 0.011
La 0.242 0.242 0.242
CELL_PARAMETERS angstrom
10.232 0.028 0.017
9.470 3.873 0.017
9.470 1.875 3.389
```

Model ii:
Here is a geometry-optimized La2CuBr structure from Alexandria. Energies are from PBE. Values from VASP.

Output
Space group: I-4m2
Density: 6.133 g/cm3

Geometry as Quantum ESPRESSO input:
```
&SYSTEM
  ibrav = 0, nat = 4, ntyp = 3
/
ATOMIC_SPECIES
Br 79.90 Br.upf
Cu 63.55 Cu.upf
La 138.91 La.upf
ATOMIC_POSITIONS crystal
Br 0.500 0.500 0.000
Cu 0.750 0.250 0.500
La 0.000 0.000 0.000
La 0.250 0.750 0.500
CELL_PARAMETERS angstrom
-1.174 -0.717 6.865
-3.664 -4.921 3.374
4.899 1.144 -4.871
```

Model iii:
Here is a geometry-optimized La2CuBr structure from Alexandria. Energies are from PBE. Values from VASP.

Output
Space group: P2/m
Density: 6.612 g/cm3

Geometry as Quantum ESPRESSO input:
```
&SYSTEM
  ibrav = 0, nat = 4, ntyp = 3
/
ATOMIC_SPECIES
Br 79.90 Br.upf
Cu 63.55 Cu.upf
La 138.91 La.upf
ATOMIC_POSITIONS crystal
Br 0.500 0.250 0.250
Cu 0.500 0.750 0.750
La 0.000 0.030 0.972
La 0.000 0.470 0.528
CELL_PARAMETERS angstrom
3.557 0.000 0.000
0.000 3.564 0.015
0.000 3.523 8.361
```

Least stable: model i

Model i:
Here is a geometry-optimized La2Cu2Br structure from Alexandria. Energies are from PBE. Values from VASP.

Output
Space group: R-3m
Density: 6.131 g/cm3

Geometry as Quantum ESPRESSO input:
```
&SYSTEM
  ibrav = 0, nat = 5, ntyp = 3
/
ATOMIC_SPECIES
La 138.91 La.upf
Cu 63.55 Cu.upf
Br 79.90 Br.upf
ATOMIC_POSITIONS crystal
La 0.853 0.426 0.279
La 0.147 0.574 0.721
Cu 0.335 0.167 0.502
Cu 0.665 0.833 0.498
Br 0.000 0.000 0.000
CELL_PARAMETERS angstrom
-3.867 -1.740 0.477
3.335 -2.462 -1.014
3.017 0.751 8.105
```

Model ii:
Here is a geometry-optimized La2Cu2Br structure from Alexandria. Energies are from PBE. Values from VASP.

Output
Space group: P4/mbm
Density: 6.092 g/cm3

Geometry as Quantum ESPRESSO input:
```
&SYSTEM
  ibrav = 0, nat = 10, ntyp = 3
/
ATOMIC_SPECIES
Cu 63.55 Cu.upf
Br 79.90 Br.upf
La 138.91 La.upf
ATOMIC_POSITIONS crystal
Cu 0.109 0.609 0.500
Cu 0.609 0.891 0.500
Cu 0.891 0.391 0.500
Cu 0.391 0.109 0.500
Br 0.000 0.000 0.000
Br 0.500 0.500 0.000
La 0.326 0.826 0.000
La 0.826 0.674 0.000
La 0.674 0.174 0.000
La 0.174 0.326 0.000
CELL_PARAMETERS angstrom
-6.335 -2.017 4.882
3.645 -7.188 1.760
1.801 1.652 3.019
```

Least stable: model ii

Model i:
Here is a geometry-optimized LaCuSe2Br structure from Alexandria. Energies are from PBE. Values from VASP.

Output
Space group: P4/mmm
Density: 3.793 g/cm3

Geometry as Quantum ESPRESSO input:
```
&SYSTEM
  ibrav = 0, nat = 5, ntyp = 4
/
ATOMIC_SPECIES
Cu 63.55 Cu.upf
Se 78.96 Se.upf
Br 79.90 Br.upf
La 138.91 La.upf
ATOMIC_POSITIONS crystal
Cu 0.500 0.500 0.500
Se 0.000 0.500 0.000
Se 0.500 0.000 0.000
Br 0.000 0.000 0.500
La 0.000 0.000 0.000
CELL_PARAMETERS angstrom
-0.575 -3.281 -4.706
5.247 1.611 -1.764
2.332 -4.484 2.841
```

Model ii:
Here is a geometry-optimized LaCuSe2Br structure from Alexandria. Energies are from PBE. Values from VASP.

Output
Space group: P4/mmm
Density: 6.146 g/cm3

Geometry as Quantum ESPRESSO input:
```
&SYSTEM
  ibrav = 0, nat = 5, ntyp = 4
/
ATOMIC_SPECIES
Cu 63.55 Cu.upf
Se 78.96 Se.upf
Br 79.90 Br.upf
La 138.91 La.upf
ATOMIC_POSITIONS crystal
Cu 0.000 0.000 0.000
Se 0.000 0.500 0.000
Se 0.500 0.000 0.000
Br 0.000 0.000 0.500
La 0.500 0.500 0.500
CELL_PARAMETERS angstrom
-2.112 3.643 2.608
1.251 -2.289 4.211
4.211 2.402 0.055
```

Least stable: model i

Model i:
Here is a geometry-optimized LaCuSeBr2 structure from Alexandria. Energies are from PBE. Values from VASP.

Output
Space group: P4/mmm
Density: 3.735 g/cm3

Geometry as Quantum ESPRESSO input:
```
&SYSTEM
  ibrav = 0, nat = 5, ntyp = 4
/
ATOMIC_SPECIES
Cu 63.55 Cu.upf
Se 78.96 Se.upf
Br 79.90 Br.upf
La 138.91 La.upf
ATOMIC_POSITIONS crystal
Cu 0.500 0.500 0.500
Se 0.000 0.000 0.500
Br 0.000 0.500 0.000
Br 0.500 0.000 0.000
La 0.000 0.000 0.000
CELL_PARAMETERS angstrom
5.797 0.000 0.000
0.000 5.797 0.000
0.000 0.000 5.838
```

Model ii:
Here is a geometry-optimized LaCuSeBr2 structure from Alexandria. Energies are from PBE. Values from VASP.

Output
Space group: P4/mmm
Density: 5.825 g/cm3

Geometry as Quantum ESPRESSO input:
```
&SYSTEM
  ibrav = 0, nat = 5, ntyp = 4
/
ATOMIC_SPECIES
Cu 63.55 Cu.upf
Se 78.96 Se.upf
Br 79.90 Br.upf
La 138.91 La.upf
ATOMIC_POSITIONS crystal
Cu 0.000 0.000 0.000
Se 0.000 0.000 0.500
Br 0.000 0.500 0.000
Br 0.500 0.000 0.000
La 0.500 0.500 0.500
CELL_PARAMETERS angstrom
-3.148 3.473 -1.460
-3.716 -2.550 1.947
0.658 2.502 4.533
```

Least stable: model i

Model i:
Here is a geometry-optimized LiCuBr2 structure from Alexandria. Energies are from PBE. Values from VASP.

Output
Space group: C2/m
Density: 3.692 g/cm3

Geometry as Quantum ESPRESSO input:
```
&SYSTEM
  ibrav = 0, nat = 4, ntyp = 3
/
ATOMIC_SPECIES
Br 79.90 Br.upf
Cu 63.55 Cu.upf
Li 6.94 Li.upf
ATOMIC_POSITIONS crystal
Br 0.112 0.112 0.951
Br 0.388 0.388 0.549
Cu 0.250 0.250 0.250
Li 0.750 0.750 0.750
CELL_PARAMETERS angstrom
4.065 0.066 -0.839
2.050 3.511 -0.839
0.658 0.385 7.146
```

Model ii:
Here is a geometry-optimized LiCuBr2 structure from Alexandria. Energies are from PBE. Values from VASP.

Output
Space group: Cmm2
Density: 4.408 g/cm3

Geometry as Quantum ESPRESSO input:
```
&SYSTEM
  ibrav = 0, nat = 4, ntyp = 3
/
ATOMIC_SPECIES
Br 79.90 Br.upf
Cu 63.55 Cu.upf
Li 6.94 Li.upf
ATOMIC_POSITIONS crystal
Br 0.000 0.000 0.862
Br 0.500 0.500 0.374
Cu 0.000 0.000 0.466
Li 0.500 0.500 0.797
CELL_PARAMETERS angstrom
-3.214 0.005 -1.872
-0.575 -3.549 0.952
-3.010 1.875 5.172
```

Least stable: model ii

Model i:
Here is a geometry-optimized LiCuBr2 structure from Alexandria. Energies are from PBE. Values from VASP.

Output
Space group: R-3m
Density: 3.575 g/cm3

Geometry as Quantum ESPRESSO input:
```
&SYSTEM
  ibrav = 0, nat = 4, ntyp = 3
/
ATOMIC_SPECIES
Cu 63.55 Cu.upf
Br 79.90 Br.upf
Li 6.94 Li.upf
ATOMIC_POSITIONS crystal
Cu 0.000 0.000 0.000
Br 0.898 0.898 0.898
Br 0.102 0.102 0.102
Li 0.500 0.500 0.500
CELL_PARAMETERS angstrom
2.367 0.000 7.348
-1.184 2.050 7.348
-1.184 -2.050 7.348
```

Model ii:
Here is a geometry-optimized LiCuBr2 structure from Alexandria. Energies are from PBE. Values from VASP.

Output
Space group: Cm
Density: 3.354 g/cm3

Geometry as Quantum ESPRESSO input:
```
&SYSTEM
  ibrav = 0, nat = 4, ntyp = 3
/
ATOMIC_SPECIES
Br 79.90 Br.upf
Cu 63.55 Cu.upf
Li 6.94 Li.upf
ATOMIC_POSITIONS crystal
Br 0.982 0.982 0.626
Br 0.268 0.268 0.124
Cu 0.375 0.375 0.625
Li 0.875 0.875 0.125
CELL_PARAMETERS angstrom
6.894 -0.250 0.148
5.782 3.762 0.148
-0.106 -0.029 4.162
```

Least stable: model i